<A>
# LiSbW3 GGA-PBE optimized geometry
# * total magnetic moment: 0.0 μB per formula unit
# * crystal system: cubic
# * density: 9.38 g cm⁻³
data_LiSbW3
_symmetry_space_group_name_H-M 'P m -3 m'
_symmetry_Int_Tables_number 221
_symmetry_space_group_name_Hall '-P 4 2 3'
_cell_length_a 4.9387
_cell_length_b 4.9387
_cell_length_c 4.9387
_cell_angle_alpha 90.00
_cell_angle_beta 90.00
_cell_angle_gamma 90.00
loop_
_atom_site_label
_atom_site_fract_x
_atom_site_fract_y
_atom_site_fract_z
Li1 0.0000 0.0000 0.0000
Sb1 0.5000 0.5000 0.5000
W1 0.0000 0.5000 0.5000

<B>
# LiSbW3 GGA-PBE optimized geometry
# * total magnetic moment: 0.0 μB per formula unit
# * crystal system: cubic
# * density: 13.92 g cm⁻³
data_LiSbW3
_symmetry_space_group_name_H-M 'P m -3 m'
_symmetry_Int_Tables_number 221
_symmetry_space_group_name_Hall '-P 4 2 3'
_cell_length_a 4.3289
_cell_length_b 4.3289
_cell_length_c 4.3289
_cell_angle_alpha 90.00
_cell_angle_beta 90.00
_cell_angle_gamma 90.00
loop_
_atom_site_label
_atom_site_fract_x
_atom_site_fract_y
_atom_site_fract_z
Li1 0.0000 0.0000 0.0000
Sb1 0.5000 0.5000 0.5000
W1 0.0000 0.0000 0.5000

The structure with the least stability is <A>.